No. 1
## ReW2Br (PBE)

Data for a relaxed ReW2Br crystal.

## Properties
Offset from the most stable computed form: 0.0 meV per atom
Total DFT energy (no corrections): -9.3866 eV/atom
Uncorrected formation energy: 0.62 eV per atom
Fermi-level density of states: 0.66 states/eV/atom

Unit cell a=9.0155 b=9.0155 c=9.0155 alpha=18.71 beta=18.71 gamma=18.71
Atoms (fractional coordinates):
Re1 0.7500 0.7500 0.7500
Br1 0.2500 0.2500 0.2500
W1 0.0018 0.0018 0.0018
W2 0.4982 0.4982 0.4982



No. 2
## ReWBr2 (PBE)

Data for a relaxed ReWBr2 crystal.

## Properties
Offset from the most stable computed form: 619.6 meV per atom
Total DFT energy (no corrections): -6.3991 eV/atom
Uncorrected formation energy: 0.79 eV per atom
Fermi-level density of states: 0.54 states/eV/atom

Unit cell a=5.4478 b=5.4478 c=7.0194 alpha=68.06 beta=68.06 gamma=33.94
Atoms (fractional coordinates):
Re1 0.4493 0.4493 0.6260
Br1 0.0624 0.0624 0.8971
Br2 0.2066 0.2066 0.3522
W1 0.7818 0.7818 0.6247



No. 3
## ReWBr2 (PBE)

Data for a relaxed ReWBr2 crystal.

## Properties
Offset from the most stable computed form: 1021.5 meV per atom
Total DFT energy (no corrections): -5.9971 eV/atom
Uncorrected formation energy: 1.19 eV per atom
Fermi-level density of states: 1.32 states/eV/atom

Unit cell a=9.0397 b=9.0397 c=9.0397 alpha=19.55 beta=19.55 gamma=19.55
Atoms (fractional coordinates):
Re1 0.0000 0.0000 0.0000
Br1 0.9079 0.9079 0.9079
Br2 0.0921 0.0921 0.0921
W1 0.5000 0.5000 0.5000